Entry 1:
## SrPmCd2 (PBE)

Data for crystalline SrPmCd2 at its relaxed geometry.

Lattice parameters (Å, degrees): 3.9350 3.9350 30.0279 90.00 90.00 120.00
Space group R-3m (No. 166, hexagonal axes)
Inequivalent atoms, fractional coordinates:
1 Sr 0.0000 0.0000 0.0000 [3 per cell]
2 Pm 0.0000 0.0000 0.5000 [3 per cell]
3 Cd 0.0000 0.0000 0.2461 [6 per cell]

Total DFT energy (no corrections) (eV per atom): -2.1640
Fermi-level density of states (states/eV/cell): 13.822
Total magnetic moment (μB per atom): 0.0001
E_form (eV per atom): -0.10

---

Entry 2:
## Sr2Pm2Cd15 (PBE)

Data for crystalline Sr2Pm2Cd15 at its relaxed geometry.

Lattice parameters (Å, degrees): 10.3697 10.3697 15.8434 90.00 90.00 120.00
Space group R-3m (No. 166, hexagonal axes)
Inequivalent atoms, fractional coordinates:
1 Sr 0.0000 0.0000 0.1598 [6 per cell]
2 Pm 0.0000 0.0000 0.4082 [6 per cell]
3 Cd 0.0000 0.2978 0.5000 [18 per cell]
4 Cd 0.0000 0.5000 0.0000 [9 per cell]
5 Cd 0.0088 0.5044 0.6437 [18 per cell]

Total DFT energy (no corrections) (eV per atom): -1.5699
Fermi-level density of states (states/eV/cell): 28.555
Total magnetic moment (μB per atom): 0.0000
E_form (eV per atom): -0.17

---

Entry 3:
## SrPm3Cd4 (PBE)

Data for crystalline SrPm3Cd4 at its relaxed geometry.

Lattice parameters (Å, degrees): 10.927 7.828 5.463 90.00 90.00 90.00
Space group Pmma (No. 51)
Inequivalent atoms, fractional coordinates:
1 Sr 0.000 0.000 0.000 [2 per cell]
2 Pm 0.000 0.500 0.000 [2 per cell]
3 Pm 0.250 0.000 0.499 [2 per cell]
4 Pm 0.250 0.500 0.499 [2 per cell]
5 Cd 0.000 0.260 0.500 [4 per cell]
6 Cd 0.250 0.260 0.999 [4 per cell]

Total DFT energy (no corrections) (eV per atom): -2.7554
Fermi-level density of states (states/eV/cell): 15.240
Total magnetic moment (μB per atom): 0.0634
E_form (eV per atom): -0.31

---

Entry 4:
## Sr3Pm2Cd3 (PBE)

Data for crystalline Sr3Pm2Cd3 at its relaxed geometry.

Lattice parameters (Å, degrees): 3.966 5.754 23.807 90.00 90.00 90.00
Space group Immm (No. 71)
Inequivalent atoms, fractional coordinates:
1 Sr 0.000 0.000 0.000 [2 per cell]
2 Sr 0.000 0.500 0.121 [4 per cell]
3 Pm 0.000 0.000 0.233 [4 per cell]
4 Cd 0.000 0.000 0.500 [2 per cell]
5 Cd 0.000 0.500 0.375 [4 per cell]

Total DFT energy (no corrections) (eV per atom): -2.3839
Fermi-level density of states (states/eV/cell): 15.984
Total magnetic moment (μB per atom): 0.0000
E_form (eV per atom): -0.22

---

Entry 5:
## Sr3PmCd4 (PBE)

Data for crystalline Sr3PmCd4 at its relaxed geometry.

Lattice parameters (Å, degrees): 3.978 3.978 16.152 90.00 90.00 90.00
Space group P4/mmm (No. 123)
Inequivalent atoms, fractional coordinates:
1 Sr 0.000 0.000 0.000 [1 per cell]
2 Sr 0.000 0.000 0.258 [2 per cell]
3 Pm 0.000 0.000 0.500 [1 per cell]
4 Cd 0.500 0.500 0.129 [2 per cell]
5 Cd 0.500 0.500 0.391 [2 per cell]

Total DFT energy (no corrections) (eV per atom): -2.0060
Fermi-level density of states (states/eV/cell): 6.900
Total magnetic moment (μB per atom): 0.0168
E_form (eV per atom): -0.32

---

Entry 6:
## Sr2PmCd (PBE)

Data for crystalline Sr2PmCd at its relaxed geometry.

Lattice parameters (Å, degrees): 3.8401 3.8401 37.7339 90.00 90.00 120.00
Space group R-3m (No. 166, hexagonal axes)
Inequivalent atoms, fractional coordinates:
1 Sr 0.0000 0.0000 0.0969 [6 per cell]
2 Pm 0.0000 0.0000 0.0000 [3 per cell]
3 Cd 0.0000 0.0000 0.5000 [3 per cell]

Total DFT energy (no corrections) (eV per atom): -2.0678
Fermi-level density of states (states/eV/cell): 17.210
Total magnetic moment (μB per atom): 0.1880
E_form (eV per atom): 0.19
Polymorph energy (0 for the lowest one) (kJ/mol of formula units): 87

---

Entry 7:
## SrPmCd3 (PBE)

Data for crystalline SrPmCd3 at its relaxed geometry.

Lattice parameters (Å, degrees): 3.801 30.402 5.045 90.00 90.00 90.00
Space group Cmcm (No. 63)
Inequivalent atoms, fractional coordinates:
1 Sr 0.000 0.076 0.250 [4 per cell]
2 Pm 0.000 0.213 0.750 [4 per cell]
3 Cd 0.000 0.322 0.750 [4 per cell]
4 Cd 0.000 0.377 0.250 [4 per cell]
5 Cd 0.000 0.475 0.250 [4 per cell]

Total DFT energy (no corrections) (eV per atom): -2.1363
Fermi-level density of states (states/eV/cell): 17.710
Total magnetic moment (μB per atom): 0.0000
E_form (eV per atom): -0.30

---

Entry 8:
## Sr2PmCd4 (PBE)

Data for crystalline Sr2PmCd4 at its relaxed geometry.

Lattice parameters (Å, degrees): 5.665 5.665 14.374 90.00 90.00 90.00
Space group I4/mmm (No. 139)
Inequivalent atoms, fractional coordinates:
1 Sr 0.000 0.000 0.235 [4 per cell]
2 Pm 0.000 0.000 0.500 [2 per cell]
3 Cd 0.000 0.500 0.108 [8 per cell]

Total DFT energy (no corrections) (eV per atom): -1.8562
Fermi-level density of states (states/eV/cell): 13.562
Total magnetic moment (μB per atom): 0.0000
E_form (eV per atom): -0.17

---

Entry 9:
## SrPm2Cd (PBE)

Data for crystalline SrPm2Cd at its relaxed geometry.

Lattice parameters (Å, degrees): 3.6972 3.6972 36.9540 90.00 90.00 120.00
Space group R-3m (No. 166, hexagonal axes)
Inequivalent atoms, fractional coordinates:
1 Sr 0.0000 0.0000 0.0000 [3 per cell]
2 Pm 0.0000 0.0000 0.0993 [6 per cell]
3 Cd 0.0000 0.0000 0.5000 [3 per cell]

Total DFT energy (no corrections) (eV per atom): -2.8730
Fermi-level density of states (states/eV/cell): 21.358
Total magnetic moment (μB per atom): 0.0008
E_form (eV per atom): 0.15
Polymorph energy (0 for the lowest one) (kJ/mol of formula units): 78

---

Entry 10:
## SrPm2Cd2 (PBE)

Data for crystalline SrPm2Cd2 at its relaxed geometry.

Lattice parameters (Å, degrees): 3.938 21.693 3.803 90.00 90.00 90.00
Space group Cmmm (No. 65)
Inequivalent atoms, fractional coordinates:
1 Sr 0.000 0.000 0.000 [2 per cell]
2 Pm 0.000 0.181 0.000 [4 per cell]
3 Cd 0.000 0.400 0.500 [4 per cell]

Total DFT energy (no corrections) (eV per atom): -2.7412
Fermi-level density of states (states/eV/cell): 9.921
Total magnetic moment (μB per atom): 0.2027
E_form (eV per atom): -0.14

---

Entry 11:
## SrPmCd4 (PBE)

Data for crystalline SrPmCd4 at its relaxed geometry.

Lattice parameters (Å, degrees): 8.605 8.605 8.605 90.00 90.00 90.00
Space group F-43m (No. 216)
Inequivalent atoms, fractional coordinates:
1 Sr 0.000 0.000 0.000 [4 per cell]
2 Pm 0.250 0.250 0.250 [4 per cell]
3 Cd 0.124 0.124 0.624 [16 per cell]

Total DFT energy (no corrections) (eV per atom): -1.9559
Fermi-level density of states (states/eV/cell): 15.350
Total magnetic moment (μB per atom): 0.0000
E_form (eV per atom): -0.27
Polymorph energy (0 for the lowest one) (kJ/mol of formula units): 0

---

Entry 12:
## SrPm2Cd4 (PBE)

Data for crystalline SrPm2Cd4 at its relaxed geometry.

Lattice parameters (Å, degrees): 4.672 4.672 20.050 90.00 90.00 90.00
Space group I4/mmm (No. 139)
Inequivalent atoms, fractional coordinates:
1 Sr 0.000 0.000 0.000 [2 per cell]
2 Pm 0.000 0.000 0.258 [4 per cell]
3 Cd 0.000 0.500 0.130 [8 per cell]

Total DFT energy (no corrections) (eV per atom): -2.2473
Fermi-level density of states (states/eV/cell): 10.414
Total magnetic moment (μB per atom): 0.0000
E_form (eV per atom): -0.13

---

Entry 13:
## SrPm2Cd6 (PBE)

Data for crystalline SrPm2Cd6 at its relaxed geometry.

Lattice parameters (Å, degrees): 8.8255 8.8255 3.5509 90.00 90.00 120.00
Space group P6/mmm (No. 191)
Inequivalent atoms, fractional coordinates:
1 Sr 0.0000 0.0000 0.0000 [1 per cell]
2 Pm 0.3333 0.6667 0.0000 [2 per cell]
3 Cd 0.0000 0.3364 0.5000 [6 per cell]

Total DFT energy (no corrections) (eV per atom): -2.1779
Fermi-level density of states (states/eV/cell): 7.058
Total magnetic moment (μB per atom): 0.0001
E_form (eV per atom): -0.33

---

Entry 14:
## Sr2PmCd (PBE)

Data for crystalline Sr2PmCd at its relaxed geometry.

Lattice parameters (Å, degrees): 3.9845 3.9845 34.6001 90.00 90.00 120.00
Space group R3m (No. 160, hexagonal axes)
Inequivalent atoms, fractional coordinates:
1 Sr 0.0000 0.0000 0.0000 [3 per cell]
2 Sr 0.0000 0.0000 0.1835 [3 per cell]
3 Pm 0.0000 0.0000 0.4256 [3 per cell]
4 Cd 0.0000 0.0000 0.5915 [3 per cell]

Total DFT energy (no corrections) (eV per atom): -2.2201
Fermi-level density of states (states/eV/cell): 15.370
Total magnetic moment (μB per atom): 0.0272
E_form (eV per atom): 0.04
Polymorph energy (0 for the lowest one) (kJ/mol of formula units): 28